Record 1
# Ce2PuHf

Ce2PuHf after structural relaxation (PBE, Alexandria via LeMat-Bulk).

Cell: 4.6195 4.6954 4.6954 Å, 90.00 90.00 90.00°
Last column: nearest neighbours and their distance in Å.
Element x y z (fractional)
Pu 0.5000 0.0000 0.0000  8 Ce 3.29, 4 Hf 3.32
Ce 0.0000 0.0000 0.5000  4 Pu 3.29, 4 Hf 3.29, 4 Ce 3.32
Ce 0.0000 0.5000 0.0000  4 Pu 3.29, 4 Hf 3.29, 4 Ce 3.32
Hf 0.5000 0.5000 0.5000  8 Ce 3.29, 4 Pu 3.32

Properties
Formation energy = 0.137 eV/atom
Space group = P4/mmm
Energy above the most stable polymorph in this dataset = 4 meV per atom

***

Record 2
# CePuHf

CePuHf after structural relaxation (PBE, Alexandria via LeMat-Bulk).

Cell: 3.1709 3.1709 14.2508 Å, 96.39 96.39 90.00°
Last column: nearest neighbours and their distance in Å.
Element x y z (fractional)
Hf 0.4470 0.4470 0.8940  5 Hf 2.98-3.17, 4 Ce 3.33
Hf 0.5530 0.5530 0.1060  5 Hf 2.98-3.17, 4 Ce 3.33
Pu 0.7319 0.7319 0.4638  4 Pu 2.46
Pu 0.2681 0.2681 0.5362  4 Pu 2.46
Ce 0.1405 0.1405 0.2810  4 Ce 3.17, 4 Hf 3.33, 4 Pu 3.41
Ce 0.8595 0.8595 0.7190  4 Ce 3.17, 4 Hf 3.33, 4 Pu 3.41

Properties
Formation energy = 0.390 eV/atom
Space group = I4/mmm
Energy above the most stable polymorph in this dataset = 251 meV per atom

***

Record 3
# Ce2PuHf

Ce2PuHf after structural relaxation (PBE, Alexandria via LeMat-Bulk).

Cell: 3.2367 3.2367 9.5622 Å, 90.00 90.00 90.00°
Last column: nearest neighbours and their distance in Å.
Element x y z (fractional)
Ce 0.0000 0.0000 0.7474  4 Ce 3.24, 4 Pu 3.29, 4 Hf 3.33
Ce 0.0000 0.0000 0.2526  4 Ce 3.24, 4 Pu 3.29, 4 Hf 3.33
Hf 0.5000 0.5000 0.0000  4 Hf 3.24, 8 Ce 3.33
Pu 0.5000 0.5000 0.5000  4 Pu 3.24, 8 Ce 3.29

Properties
Formation energy = 0.134 eV/atom
Space group = P4/mmm
Energy above the most stable polymorph in this dataset = 0 meV per atom

***

Record 4
# CePuHf

CePuHf after structural relaxation (PBE, Alexandria via LeMat-Bulk).

Cell: 3.0515 5.2858 5.2858 Å, 120.00 90.00 90.00°
Last column: nearest neighbours and their distance in Å.
Element x y z (fractional)
Ce 0.1666 0.0000 0.0000  2 Ce 3.05, 3 Hf 3.05, 6 Pu 3.41
Pu 0.6668 0.6667 0.3333  2 Pu 3.05, 6 Hf 3.41, 6 Ce 3.41
Hf 0.1666 0.3333 0.6667  2 Hf 3.05, 3 Ce 3.05, 6 Pu 3.41

Properties
Formation energy = 0.231 eV/atom
Space group = P-6m2
Energy above the most stable polymorph in this dataset = 92 meV per atom

***

Which value of energy above the most stable polymorph in this dataset does entry 3 give? 0 meV per atom